BaCu2PdCl8: optimized geometry, PBE.

- Total magnetic moment: 0.0 μB per cell
- Crystal system: trigonal
- Energy relative to the elements, uncorrected: -11.30 eV per formula unit
- Calculated volume: 353.5 Å³/cell

Geometry as CIF:
```
data_BaCu2PdCl8
_chemical_formula_sum 'Ba1 Cu2 Pd1 Cl8'
_space_group_name_H-M_alt 'P -3 m 1'
_space_group_IT_number 164
_space_group_name_Hall '-P 3 2"'
_cell_length_a 7.0671
_cell_length_b 7.0671
_cell_length_c 8.1739
_cell_angle_alpha 90.00
_cell_angle_beta 90.00
_cell_angle_gamma 120.00
loop_
_atom_site_label
_atom_site_type_symbol
_atom_site_fract_x
_atom_site_fract_y
_atom_site_fract_z
_atom_site_occupancy
Ba1 Ba 0.0000 0.0000 0.0000 1
Cu1 Cu 0.3333 0.6667 0.2334 1
Pd1 Pd 0.0000 0.0000 0.5000 1
Cl1 Cl 0.1561 0.3122 0.3160 1
Cl2 Cl 0.3333 0.6667 0.9678 1
```